[1]
10
Lattice="2.9452 -6.1607 0.0000 2.9452 6.1607 0.0000 0.0000 0.0000 7.2720" Properties=species:S:1:pos:R:3 comment="KCuAgSe2 GGA-PBE optimized geometry" e_form_raw_mev_per_atom=-438.3 dos_at_fermi_per_ev_fu=2.9 pbc="T T T"
K 2.9452 3.0803 5.7224
K 2.9452 -3.0803 1.5496
Cu 1.4726 0.0000 0.0000
Cu 4.4179 0.0000 0.0000
Ag 0.0000 0.0000 3.6360
Ag 2.9452 0.0000 3.6360
Se 2.9452 4.8732 1.4695
Se 2.9452 1.2875 1.4695
Se 2.9452 -1.2875 5.8025
Se 2.9452 -4.8732 5.8025



[2]
16
Lattice="5.1597 0.0000 0.0000 -2.5799 4.4685 0.0000 0.0000 0.0000 17.8430" Properties=species:S:1:pos:R:3 comment="Na5ZnAs2 GGA-PBE optimized geometry" delta_e_f_mev_per_atom=-328 dos_at_fermi_per_ev_fu=3.6 pbc="T T T"
Na 0.0000 0.0000 2.5043
Na 0.0000 0.0000 6.4172
Na 0.0000 0.0000 11.4258
Na 0.0000 0.0000 15.3386
Na 0.0000 2.9790 0.9294
Na 0.0000 2.9790 4.4607
Na 0.0000 2.9790 7.9920
Na 2.5799 1.4895 9.8509
Na 2.5799 1.4895 13.3822
Na 2.5799 1.4895 16.9135
Zn 0.0000 2.9790 13.3822
Zn 2.5799 1.4895 4.4607
As 0.0000 2.9790 11.0022
As 0.0000 2.9790 15.7622
As 2.5799 1.4895 2.0807
As 2.5799 1.4895 6.8407



[3]
6
Lattice="4.8648 0.0000 0.0000 -2.4324 4.2130 0.0000 0.0000 0.0000 8.6074" Properties=species:S:1:pos:R:3 comment="NaCoRu GGA-PBE optimized geometry" delta_e_f_mev_per_atom=1854 dos_at_fermi_per_ev_fu=5.0 pbc="T T T"
Na 0.0000 2.8087 2.1518
Na 2.4324 1.4043 6.4555
Co 0.0000 0.0000 2.1518
Co 0.0000 0.0000 6.4555
Ru 0.0000 0.0000 0.0000
Ru 0.0000 0.0000 4.3037



[4]
10
Lattice="-3.9370 3.9370 5.8058 3.9370 -3.9370 5.8058 3.9370 3.9370 -5.8058" Properties=species:S:1:pos:R:3 comment="Rb2LiTeBr6 GGA-PBE optimized geometry" e_form_raw_mev_per_atom=-1072.2 dos_at_fermi_per_ev_fu=0.4 pbc="T T T"
Rb 3.9370 0.0000 2.9029
Rb 0.0000 3.9370 2.9029
Li 0.0000 0.0000 0.0000
Te 0.0000 0.0000 5.8058
Br 0.0000 0.0000 2.5513
Br 2.0164 2.0164 0.0000
Br 1.9206 -1.9206 5.8058
Br -1.9206 1.9206 5.8058
Br 1.9206 1.9206 5.8058
Br 0.0000 0.0000 9.0603



[5]
4
Lattice="2.0169 1.1644 6.0274 -2.0169 1.1644 6.0274 0.0000 -2.3289 6.0274" Properties=species:S:1:pos:R:3 comment="CaFe2Pb GGA-PBE optimized geometry" delta_e_f_mev_per_atom=158 dos_at_fermi_per_ev_fu=3.5 pbc="T T T"
Ca 0.0000 0.0000 0.0000
Fe 0.0000 0.0000 8.0693
Fe 0.0000 0.0000 14.1095
Pb 0.0000 0.0000 3.5698



[6]
5
Lattice="4.7539 0.0000 0.0000 0.0000 4.7539 0.0000 0.0000 0.0000 5.0797" Properties=species:S:1:pos:R:3 comment="TiTcAuS2 GGA-PBE optimized geometry" e_form_raw_mev_per_atom=1194.0 dos_at_fermi_per_ev_fu=4.4 pbc="T T T"
Ti 0.0000 0.0000 0.0000
Tc 2.3770 2.3770 0.0000
Au 2.3770 2.3770 2.5399
S 0.0000 2.3770 2.5399
S 2.3770 0.0000 2.5399